TbPuNb | OQMD via LeMat-Bulk | GGA-PBE | optimized geometry; formation energy from the elements = 0.759 eV/atom; relative energy among the computed polymorphs = 0.000 eV per atom; VASP energy = -8.86 eV/atom
1.0
0.000 3.460 3.460
3.460 0.000 3.460
3.460 3.460 0.000
Nb Pu Tb
1 1 1
Cartesian
0.000 0.000 0.000
1.730 1.730 1.730
5.191 5.191 5.191